1.
# MnCoSb2

A PBEsol-optimized structure of MnCoSb2 (meta-GGA SCAN, Alexandria).

Properties
The value obtained for the density of states at the Fermi level is 0.752 states/eV/atom. Its total magnetic moment is 2.66 μB/f.u. As for the formation energy (no corrections): 1.6 eV/f.u. The mass density is 9.4 g cm⁻³.

Cell lengths 4.462, 4.462, 4.462 Å; angles 60.00, 60.00, 60.00 degrees
Fractional coordinates of all 4 atoms:
Mn (0.000, 0.000, 0.000)
Co (0.500, 0.500, 0.500)
Sb (0.250, 0.250, 0.250)
Sb (0.750, 0.750, 0.750)

---

2.
# ZnAgIr2

A PBEsol-optimized structure of ZnAgIr2 (meta-GGA SCAN, Alexandria).

Properties
The energy of formation comes out at 0.0278 eV per atom. The value obtained for the density of states at the Fermi level is 0.460 states/eV/atom. Its total magnetic moment is 0.00 μB/f.u. The mass density is 15.9 g cm⁻³.

Cell lengths 2.737, 2.737, 7.754 Å; angles 90.00, 90.00, 90.00 degrees
Fractional coordinates of all 4 atoms:
Zn (0.000, 0.000, 0.000)
Ag (0.500, 0.500, 0.256)
Ir (0.000, 0.000, 0.530)
Ir (0.500, 0.500, 0.760)

---

3.
# K3TcF

A PBEsol-optimized structure of K3TcF (meta-GGA SCAN, Alexandria).

Properties
The value obtained for the density of states at the Fermi level is 0.408 states/eV/atom. Its total magnetic moment is 3.36 μB/f.u. As for the formation energy (no corrections): -1.4 eV/f.u. The mass density is 2.6 g cm⁻³.

Cell lengths 5.286, 5.286, 5.286 Å; angles 90.00, 90.00, 90.00 degrees
Fractional coordinates of all 5 atoms:
K (0.000, 0.000, 0.500)
K (0.000, 0.500, 0.000)
K (0.500, 0.000, 0.000)
Tc (0.500, 0.500, 0.500)
F (0.000, 0.000, 0.000)

---

4.
# Sr2HPdRu

A PBEsol-optimized structure of Sr2HPdRu (meta-GGA SCAN, Alexandria).

Properties
The value obtained for the density of states at the Fermi level is 0.297 states/eV/atom. Its total magnetic moment is 0.00 μB/f.u. The mass density is 6.7 g cm⁻³. The calculation puts the calculated total energy at -23.257 eV/atom.

Cell lengths 5.170, 5.170, 3.557 Å; angles 90.00, 90.00, 90.00 degrees
Fractional coordinates of all 5 atoms:
Sr (0.000, 0.500, 0.000)
Sr (0.500, 0.000, 0.000)
H (0.000, 0.000, 0.000)
Pd (0.500, 0.500, 0.500)
Ru (0.000, 0.000, 0.500)

---

5.
# IrRhBr

A PBEsol-optimized structure of IrRhBr (meta-GGA SCAN, Alexandria).

Properties
The value obtained for the density of states at the Fermi level is 0.744 states/eV/atom. Its total magnetic moment is 0.00 μB/f.u. As for the formation energy (no corrections): 2.5 eV/f.u. The mass density is 13.1 g cm⁻³.

Cell lengths 7.180, 6.865, 2.885 Å; angles 84.34, 72.09, 23.57 degrees
Fractional coordinates of all 3 atoms:
Ir (0.000, 0.000, 0.000)
Rh (0.660, 0.660, 0.340)
Br (0.326, 0.326, 0.674)

---

6.
# K4TiSn3P4O20

A PBEsol-optimized structure of K4TiSn3P4O20 (meta-GGA SCAN, Alexandria).

Properties
The value obtained for the density of states at the Fermi level is 0.000 states/eV/atom. Its total magnetic moment is 0.14 μB/f.u. As for the formation energy (no corrections): -78.2 eV/f.u. The mass density is 3.6 g cm⁻³.

Cell lengths 6.512, 10.775, 13.120 Å; angles 90.00, 90.25, 90.00 degrees
Fractional coordinates of all 64 atoms:
K (0.197, 0.000, 0.111)
K (0.221, 0.241, 0.869)
K (0.277, 0.240, 0.380)
K (0.294, 0.993, 0.604)
K (0.706, 0.493, 0.396)
K (0.723, 0.740, 0.620)
K (0.779, 0.741, 0.131)
K (0.803, 0.500, 0.889)
Ti (0.001, 0.445, 0.632)
Ti (0.999, 0.945, 0.368)
Sn (0.248, 0.695, 0.751)
Sn (0.262, 0.694, 0.256)
Sn (0.500, 0.446, 0.127)
Sn (0.500, 0.946, 0.873)
Sn (0.738, 0.194, 0.744)
Sn (0.752, 0.195, 0.249)
P (0.004, 0.447, 0.177)
P (0.153, 0.695, 0.500)
P (0.340, 0.696, 0.001)
P (0.498, 0.449, 0.679)
P (0.502, 0.949, 0.321)
P (0.660, 0.196, 0.999)
P (0.847, 0.195, 0.500)
P (0.996, 0.947, 0.823)
O (0.007, 0.584, 0.518)
O (0.024, 0.814, 0.482)
O (0.026, 0.836, 0.750)
O (0.028, 0.562, 0.247)
O (0.028, 0.570, 0.726)
O (0.046, 0.826, 0.272)
O (0.182, 0.970, 0.895)
O (0.188, 0.426, 0.106)
O (0.197, 0.675, 0.908)
O (0.202, 0.716, 0.095)
O (0.295, 0.719, 0.594)
O (0.302, 0.668, 0.410)
O (0.303, 0.429, 0.615)
O (0.313, 0.967, 0.390)
O (0.471, 0.820, 0.763)
O (0.473, 0.838, 0.247)
O (0.477, 0.814, 0.989)
O (0.480, 0.563, 0.751)
O (0.491, 0.585, 0.013)
O (0.496, 0.581, 0.231)
O (0.504, 0.081, 0.769)
O (0.509, 0.085, 0.987)
O (0.520, 0.063, 0.249)
O (0.523, 0.314, 0.011)
O (0.527, 0.338, 0.753)
O (0.529, 0.320, 0.237)
O (0.687, 0.467, 0.610)
O (0.697, 0.929, 0.385)
O (0.698, 0.168, 0.590)
O (0.705, 0.219, 0.406)
O (0.798, 0.216, 0.905)
O (0.803, 0.175, 0.092)
O (0.812, 0.926, 0.894)
O (0.818, 0.470, 0.105)
O (0.954, 0.326, 0.728)
O (0.972, 0.062, 0.753)
O (0.972, 0.070, 0.274)
O (0.974, 0.336, 0.250)
O (0.976, 0.314, 0.518)
O (0.993, 0.084, 0.482)

---

7.
# NiRh2Au

A PBEsol-optimized structure of NiRh2Au (meta-GGA SCAN, Alexandria).

Properties
The energy of formation comes out at 0.0867 eV per atom. The value obtained for the density of states at the Fermi level is 1.112 states/eV/atom. Its total magnetic moment is 0.75 μB/f.u. The mass density is 14.1 g cm⁻³.

Cell lengths 2.713, 2.713, 7.387 Å; angles 90.00, 90.00, 90.00 degrees
Fractional coordinates of all 4 atoms:
Ni (0.000, 0.000, 0.000)
Rh (0.000, 0.000, 0.467)
Rh (0.500, 0.500, 0.224)
Au (0.500, 0.500, 0.749)

---

8.
# RbSrTeI2

A PBEsol-optimized structure of RbSrTeI2 (meta-GGA SCAN, Alexandria).

Properties
The value obtained for the density of states at the Fermi level is 0.776 states/eV/atom. Its total magnetic moment is 0.00 μB/f.u. As for the formation energy (no corrections): -3.2 eV/f.u. The mass density is 3.8 g cm⁻³.

Cell lengths 6.274, 6.274, 6.082 Å; angles 90.00, 90.00, 90.00 degrees
Fractional coordinates of all 5 atoms:
Rb (0.000, 0.000, 0.000)
Sr (0.500, 0.500, 0.500)
Te (0.000, 0.000, 0.500)
I (0.000, 0.500, 0.000)
I (0.500, 0.000, 0.000)